1.
VASP calculation (PBEsol) on a relaxed FeCuCl2 crystal.

Values from the calculation:
The polymorph energy (0 for the lowest one) is 695 meV per atom.

abc: 4.489 4.489 4.489
angles: 60.00 60.00 60.00
Fractional positions:
Cl  0.000  0.000  0.000
Cl  0.750  0.750  0.750
Fe  0.250  0.250  0.250
Cu  0.500  0.500  0.500

=====

2.
VASP calculation (PBEsol) on a relaxed FeCuCl2 crystal.

Values from the calculation:
The polymorph energy (0 for the lowest one) is 0 meV per atom.

abc: 3.145 3.145 6.704
angles: 90.00 90.00 95.58
Fractional positions:
Fe  0.500  0.500  0.283
Cu  0.000  0.000  0.486
Cl  0.500  0.500  0.647
Cl  0.000  0.000  0.083

=====

3.
VASP calculation (PBEsol) on a relaxed FeCu2Cl crystal.

Values from the calculation:
The polymorph energy (0 for the lowest one) is 168 meV per atom.

abc: 2.840 4.030 4.604
angles: 90.00 90.00 90.00
Fractional positions:
Fe  0.500  0.000  0.500
Cu  0.500  0.500  0.000
Cu  0.000  0.000  0.000
Cl  0.000  0.500  0.500

=====

4.
VASP calculation (PBEsol) on a relaxed FeCuCl crystal.

Values from the calculation:
The polymorph energy (0 for the lowest one) is 0 meV per atom.

abc: 2.832 2.832 5.874
angles: 103.95 103.95 90.00
Fractional positions:
Cu  0.694  0.694  0.388
Cl  0.970  0.970  0.940
Fe  0.336  0.336  0.672

=====

5.
VASP calculation (PBEsol) on a relaxed FeCuCl crystal.

Values from the calculation:
The polymorph energy (0 for the lowest one) is 5 meV per atom.

abc: 2.892 2.892 5.921
angles: 97.79 97.79 116.43
Fractional positions:
Cl  0.994  0.994  0.987
Cu  0.672  0.672  0.343
Fe  0.335  0.335  0.670

=====

6.
VASP calculation (PBEsol) on a relaxed FeCu2Cl crystal.

Values from the calculation:
The polymorph energy (0 for the lowest one) is 12 meV per atom.

abc: 2.864 2.864 6.516
angles: 90.00 90.00 90.00
Fractional positions:
Fe  0.500  0.500  0.000
Cu  0.000  0.000  0.233
Cu  0.000  0.000  0.767
Cl  0.500  0.500  0.500

=====

7.
VASP calculation (PBEsol) on a relaxed FeCuOsCl2 crystal.

Values from the calculation:
For the electronic total energy, the calculation gives -4.459 eV/atom.

abc: 4.313 4.313 5.070
angles: 90.00 90.00 90.00
Fractional positions:
Fe  0.500  0.500  0.500
Cl  0.500  0.000  0.000
Cl  0.000  0.500  0.000
Cu  0.000  0.000  0.000
Os  0.000  0.000  0.500

=====

8.
VASP calculation (PBEsol) on a relaxed Fe2CuTcCl crystal.

Values from the calculation:
For the electronic total energy, the calculation gives -5.667 eV/atom.

abc: 4.486 4.425 4.425
angles: 90.00 90.00 90.00
Fractional positions:
Cl  0.500  0.000  0.000
Tc  0.000  0.000  0.000
Fe  0.000  0.500  0.000
Fe  0.000  0.000  0.500
Cu  0.500  0.500  0.500

=====

9.
VASP calculation (PBEsol) on a relaxed GaCuCl4 crystal.

Values from the calculation:
For the electronic total energy, the calculation gives -3.501 eV/atom.

abc: 5.395 5.395 9.915
angles: 90.00 90.00 90.00
Fractional positions:
Cl  0.265  0.238  0.124
Cl  0.735  0.238  0.376
Cl  0.762  0.735  0.624
Cl  0.238  0.735  0.876
Cl  0.762  0.265  0.876
Cl  0.238  0.265  0.624
Cl  0.735  0.762  0.124
Cl  0.265  0.762  0.376
Ga  0.500  0.000  0.250
Ga  0.000  0.500  0.750
Cu  0.000  0.000  0.000
Cu  0.000  0.000  0.500

=====

10.
VASP calculation (PBEsol) on a relaxed Ga2CuCl8 crystal.

Values from the calculation:
For the electronic total energy, the calculation gives -3.380 eV/atom.

abc: 6.744 7.331 12.282
angles: 90.00 95.39 90.00
Fractional positions:
Cl  0.835  0.272  0.141
Cl  0.165  0.728  0.859
Cl  0.634  0.009  0.356
Cl  0.107  0.255  0.408
Cl  0.835  0.228  0.641
Cl  0.893  0.755  0.092
Cl  0.291  0.995  0.111
Cl  0.634  0.491  0.856
Cl  0.107  0.245  0.908
Cl  0.709  0.495  0.389
Cl  0.366  0.509  0.144
Cl  0.291  0.505  0.611
Cl  0.893  0.745  0.592
Cl  0.709  0.005  0.889
Cl  0.165  0.772  0.359
Cl  0.366  0.991  0.644
Cu  0.000  0.000  0.000
Cu  0.000  0.500  0.500
Ga  0.805  0.266  0.812
Ga  0.195  0.766  0.688
Ga  0.195  0.734  0.188
Ga  0.805  0.234  0.312

=====

11.
VASP calculation (PBEsol) on a relaxed CuGeCl3 crystal.

Values from the calculation:
For the electronic total energy, the calculation gives -3.099 eV/atom.

abc: 4.962 4.962 4.962
angles: 90.00 90.00 90.00
Fractional positions:
Ge  0.000  0.000  0.000
Cl  0.500  0.000  0.000
Cl  0.000  0.500  0.000
Cl  0.000  0.000  0.500
Cu  0.500  0.500  0.500

=====

12.
VASP calculation (PBEsol) on a relaxed CuGeRuCl2 crystal.

Values from the calculation:
For the electronic total energy, the calculation gives -3.876 eV/atom.

abc: 4.317 4.317 5.228
angles: 90.00 90.00 90.00
Fractional positions:
Ru  0.000  0.000  0.500
Ge  0.500  0.500  0.500
Cl  0.500  0.000  0.000
Cl  0.000  0.500  0.000
Cu  0.000  0.000  0.000